Entry 1:
This record from the Alexandria database describes a relaxed structure of Dy3Te12Pd5. The functional is PBE.

Unit cell a=14.5619 b=14.5619 c=14.5619 alpha=109.47 beta=109.47 gamma=109.47
Last column: nearest neighbours and their distance in Å.
Element x y z (fractional)
Dy  0.1250  0.2500  0.3750  8 Te 3.17-3.23
Dy  0.1250  0.3750  0.7500  8 Te 3.17-3.23
Dy  0.2500  0.3750  0.1250  8 Te 3.17-3.23
Dy  0.2500  0.8750  0.6250  8 Te 3.17-3.23
Dy  0.3750  0.1250  0.2500  8 Te 3.17-3.23
Dy  0.3750  0.7500  0.1250  8 Te 3.17-3.23
Dy  0.6250  0.2500  0.8750  8 Te 3.17-3.23
Dy  0.6250  0.8750  0.7500  8 Te 3.17-3.23
Dy  0.7500  0.1250  0.3750  8 Te 3.17-3.23
Dy  0.7500  0.6250  0.8750  8 Te 3.17-3.23
Dy  0.8750  0.6250  0.2500  8 Te 3.17-3.23
Dy  0.8750  0.7500  0.6250  8 Te 3.17-3.23
Te  0.0382  0.2091  0.1264  2 Pd 2.63-2.72
Te  0.0382  0.3291  0.9117  2 Pd 2.63-2.72
Te  0.0826  0.7091  0.6709  2 Pd 2.63-2.72
Te  0.0826  0.8736  0.4117  2 Pd 2.63-2.72
Te  0.0883  0.6264  0.4174  2 Pd 2.63-2.72
Te  0.0883  0.9618  0.6709  2 Pd 2.63-2.72
Te  0.1264  0.0382  0.2091  2 Pd 2.63-2.72
Te  0.1264  0.5883  0.9174  2 Pd 2.63-2.72
Te  0.1709  0.2091  0.5826  2 Pd 2.63-2.72
Te  0.1709  0.4618  0.5883  2 Pd 2.63-2.72
Te  0.2091  0.1264  0.0382  2 Pd 2.63-2.72
Te  0.2091  0.5826  0.1709  2 Pd 2.63-2.72
Te  0.2909  0.3291  0.9174  2 Pd 2.63-2.72
Te  0.2909  0.4618  0.3736  2 Pd 2.63-2.72
Te  0.3291  0.9117  0.0382  2 Pd 2.63-2.72
Te  0.3291  0.9174  0.2909  2 Pd 2.63-2.72
Te  0.3736  0.2909  0.4618  2 Pd 2.63-2.72
Te  0.3736  0.5826  0.9117  2 Pd 2.63-2.72
Te  0.4117  0.0826  0.8736  2 Pd 2.63-2.72
Te  0.4117  0.8291  0.5382  2 Pd 2.63-2.72
Te  0.4174  0.0883  0.6264  2 Pd 2.63-2.72
Te  0.4174  0.8291  0.7909  2 Pd 2.63-2.72
Te  0.4618  0.3736  0.2909  2 Pd 2.63-2.72
Te  0.4618  0.5883  0.1709  2 Pd 2.63-2.72
Te  0.5382  0.4117  0.8291  2 Pd 2.63-2.72
Te  0.5382  0.6264  0.7091  2 Pd 2.63-2.72
Te  0.5826  0.1709  0.2091  2 Pd 2.63-2.72
Te  0.5826  0.9117  0.3736  2 Pd 2.63-2.72
Te  0.5883  0.1709  0.4618  2 Pd 2.63-2.72
Te  0.5883  0.9174  0.1264  2 Pd 2.63-2.72
Te  0.6264  0.4174  0.0883  2 Pd 2.63-2.72
Te  0.6264  0.7091  0.5382  2 Pd 2.63-2.72
Te  0.6709  0.0826  0.7091  2 Pd 2.63-2.72
Te  0.6709  0.0883  0.9618  2 Pd 2.63-2.72
Te  0.7091  0.5382  0.6264  2 Pd 2.63-2.72
Te  0.7091  0.6709  0.0826  2 Pd 2.63-2.72
Te  0.7909  0.4174  0.8291  2 Pd 2.63-2.72
Te  0.7909  0.8736  0.9618  2 Pd 2.63-2.72
Te  0.8291  0.5382  0.4117  2 Pd 2.63-2.72
Te  0.8291  0.7909  0.4174  2 Pd 2.63-2.72
Te  0.8736  0.4117  0.0826  2 Pd 2.63-2.72
Te  0.8736  0.9618  0.7909  2 Pd 2.63-2.72
Te  0.9117  0.0382  0.3291  2 Pd 2.63-2.72
Te  0.9117  0.3736  0.5826  2 Pd 2.63-2.72
Te  0.9174  0.1264  0.5883  2 Pd 2.63-2.72
Te  0.9174  0.2909  0.3291  2 Pd 2.63-2.72
Te  0.9618  0.6709  0.0883  2 Pd 2.63-2.72
Te  0.9618  0.7909  0.8736  2 Pd 2.63-2.72
Pd  0.0000  0.0000  0.0000  6 Te 2.72
Pd  0.0000  0.0000  0.5000  6 Te 2.72
Pd  0.0000  0.5000  0.0000  6 Te 2.72
Pd  0.0000  0.5000  0.5000  6 Te 2.72
Pd  0.1250  0.7500  0.8750  4 Te 2.63
Pd  0.1250  0.8750  0.2500  4 Te 2.63
Pd  0.2500  0.1250  0.8750  4 Te 2.63
Pd  0.2500  0.6250  0.3750  4 Te 2.63
Pd  0.3750  0.2500  0.6250  4 Te 2.63
Pd  0.3750  0.6250  0.7500  4 Te 2.63
Pd  0.5000  0.0000  0.0000  6 Te 2.72
Pd  0.5000  0.0000  0.5000  6 Te 2.72
Pd  0.5000  0.5000  0.0000  6 Te 2.72
Pd  0.5000  0.5000  0.5000  6 Te 2.72
Pd  0.6250  0.3750  0.2500  4 Te 2.63
Pd  0.6250  0.7500  0.3750  4 Te 2.63
Pd  0.7500  0.3750  0.6250  4 Te 2.63
Pd  0.7500  0.8750  0.1250  4 Te 2.63
Pd  0.8750  0.1250  0.7500  4 Te 2.63
Pd  0.8750  0.2500  0.1250  4 Te 2.63

DOS(E_F) = 45.76 states/eV/cell
uncorrected formation energy = -0.57 eV/atom
calculated volume = 29.71 A^3/atom
magnetization = 0.00 Bohr magnetons per cell

Entry 2:
This record from the Alexandria database describes a relaxed structure of NaAl2Ga4Ag. The functional is PBE.

Unit cell a=9.1794 b=9.1794 c=9.1794 alpha=28.74 beta=28.74 gamma=28.74
Last column: nearest neighbours and their distance in Å.
Element x y z (fractional)
Na  0.0000  0.0000  0.0000  8 Ga 3.07-3.37
Al  0.2461  0.2461  0.2461  6 Ga 2.72-2.84
Al  0.7539  0.7539  0.7539  6 Ga 2.72-2.84
Ga  0.1277  0.1277  0.1277  3 Ag 2.82, 4 Al 2.84-3.12
Ga  0.3936  0.3936  0.3936  3 Al 2.72, 1 Ag 2.81
Ga  0.6064  0.6064  0.6064  3 Al 2.72, 1 Ag 2.81
Ga  0.8723  0.8723  0.8723  3 Ag 2.82, 4 Al 2.84-3.12
Ag  0.5000  0.5000  0.5000  8 Ga 2.81-2.82

DOS(E_F) = 3.63 states/eV/cell
calculated volume = 19.76 A^3/atom
ΔH_f (0 K) = 51 meV/atom
magnetization = 0.00 Bohr magnetons per cell

Entry 3:
This record from the Alexandria database describes a relaxed structure of Ag4Pd2Au5. The functional is PBE.

Unit cell a=7.1700 b=7.1700 c=7.1700 alpha=141.83 beta=112.56 gamma=80.22
Last column: nearest neighbours and their distance in Å.
Element x y z (fractional)
Ag  0.1223  0.1223  0.0000  1 Ag 2.68, 1 Pd 2.70, 2 Au 2.87
Ag  0.1858  0.5000  0.6858  2 Pd 2.89, 5 Ag 2.96-3.08, 2 Au 2.97
Ag  0.8142  0.5000  0.3142  2 Pd 2.89, 5 Ag 2.96-3.08, 2 Au 2.97
Ag  0.8777  0.8777  0.0000  1 Ag 2.68, 1 Pd 2.70, 2 Au 2.87
Pd  0.3688  0.3688  0.0000  3 Ag 2.70-2.89, 6 Au 2.75-2.91, 1 Pd 2.88
Pd  0.6312  0.6312  0.0000  3 Ag 2.70-2.89, 6 Au 2.75-2.91, 1 Pd 2.88
Au  0.1002  0.7710  0.3292  4 Au 2.70-2.86, 2 Ag 2.87-2.97, 2 Pd 2.91
Au  0.4418  0.7710  0.6708  4 Au 2.70-2.86, 2 Ag 2.87-2.97, 2 Pd 2.91
Au  0.5000  0.0000  0.5000  4 Pd 2.75, 4 Au 2.86
Au  0.5582  0.2290  0.3292  4 Au 2.70-2.86, 2 Ag 2.87-2.97, 2 Pd 2.91
Au  0.8998  0.2290  0.6708  4 Au 2.70-2.86, 2 Ag 2.87-2.97, 2 Pd 2.91

DOS(E_F) = 3.07 states/eV/cell
calculated volume = 18.61 A^3/atom
ΔH_f (0 K) = 34 meV/atom
magnetization = 0.00 Bohr magnetons per cell